Record 1
AcTiPt: relaxed, PBE.

Values from the calculation:
calculated volume: 146.4 Å³/cell
spin magnetization: 0.001 μB per atom
symmetry: No. 38
energy: -38.332 eV for the cell shown
ΔE_f: -8.62 kcal/mol of atoms

a b c (Å): 5.116 3.620 11.176
angles (deg): 90.00 90.00 134.97
Element x y z (fractional)
Pt: 0.695 0.389 0.000
Pt: 0.193 0.386 0.500
Ti: 0.196 0.392 0.100
Ti: 0.196 0.392 0.900
Ac: 0.694 0.387 0.671
Ac: 0.694 0.387 0.329

Record 2
AcTiPt2: relaxed, PBE.

Values from the calculation:
calculated volume: 92.4 Å³/cell
spin magnetization: 0.000 μB per atom
E above lowest polymorph: 0.000 eV per atom
symmetry: No. 166
energy: -27.983 eV for the cell shown
ΔE_f: -22.47 kcal/mol of atoms

a b c (Å): 4.442 4.442 5.984
angles (deg): 68.22 68.22 60.00
Element x y z (fractional)
Pt: 0.292 0.292 0.123
Ac: 0.500 0.500 0.500
Ti: 0.000 0.000 0.000
Pt: 0.708 0.708 0.877